No. 1
A relaxed AlZn2Br crystal, computed with PBE-GGA.

a b c (Å): 7.779 7.779 7.779
angles (deg): 26.38 26.38 26.38
Atoms (fractional coordinates):
Zn 0.994 0.994 0.994
Zn 0.506 0.506 0.506
Al 0.250 0.250 0.250
Br 0.750 0.750 0.750

Output
As for the space group: R-3m (166). The magnetic moment comes out at 0.000 μB per cell. As for the energy above the lowest structure with this stoichiometry: 187 meV per atom. The calculation puts the volume at 81.87 Å³/cell. Its formation energy without anion corrections is -0.0064 eV/atom. The calculation puts the calculated density at 4821 kg/m3.



No. 2
A relaxed PuSc2PaSb4 crystal, computed with PBE-GGA.

a b c (Å): 4.293 7.432 7.377
angles (deg): 109.55 90.00 90.00
Each line ends with the local moment (μB).
Atoms (fractional coordinates):
Sb 0.000 0.246 0.733  -0.02
Sb 0.500 0.258 0.266  -0.04
Sb 0.500 0.742 0.734  -0.04
Sb 0.000 0.754 0.267  -0.02
Sc 0.000 0.500 0.500  -0.02
Sc 0.500 0.000 0.500  0.02
Pu 0.000 0.000 0.000  5.30
Pa 0.500 0.500 0.000  0.61

Output
As for the space group: P2/m (10). The magnetic moment comes out at 6.104 μB per cell. The calculation puts the volume at 221.82 Å³/cell. Its formation energy without anion corrections is -0.7442 eV/atom. The calculation puts the calculated density at 7875 kg/m3.



No. 3
A relaxed Zn2Si2Cl crystal, computed with PBE-GGA.

a b c (Å): 5.857 5.857 5.857
angles (deg): 136.22 136.22 63.65
Atoms (fractional coordinates):
Zn 0.250 0.750 0.500
Zn 0.750 0.250 0.500
Cl 0.000 0.000 0.000
Si 0.383 0.383 0.000
Si 0.617 0.617 0.000

Output
As for the space group: I4/mmm (139). The magnetic moment comes out at 0.000 μB per cell. The calculation puts the volume at 94.96 Å³/cell. Its formation energy without anion corrections is 0.2256 eV/atom. The calculation puts the calculated density at 3890 kg/m3.



Question: formation energy without anion corrections of number 2 (PuSc2PaSb4)?
Answer: -0.7442 eV/atom



Question: Which of these has the highest formation energy without anion corrections?
Answer: Zn2Si2Cl



Question: Among the records above, which one has the lowest calculated density?
Answer: Zn2Si2Cl



Question: volume of number 1 (AlZn2Br)?
Answer: 81.87 Å³/cell